A geometry-optimized MgZrCo2 structure, computed with PBE-GGA.

Energy of formation from the pure elements (eV/atom): 0.3357
Final energy (eV/f.u.): -23.01
Spin magnetization (μB per formula unit): 0.0
Calculated density (g cm⁻³): 6.02

a b c (Å): 6.729 6.729 5.543
angles (deg): 52.63 52.63 90.00
Sites, in units of the cell vectors:
Co: 0.875 0.882 0.750
Co: 0.375 0.368 0.750
Zr: 0.750 0.250 0.500
Co: 0.632 0.125 0.250
Co: 0.118 0.625 0.250
Mg: 0.500 0.500 0.000
Zr: 0.000 0.000 0.000
Mg: 0.250 0.750 0.500

***

A geometry-optimized Zn2ClO structure, computed with PBE-GGA.

Uncorrected formation energy (eV/atom): -0.98
Final energy (eV/f.u.): -13.26
Spin magnetization (μB per formula unit): 0.0
Calculated density (g cm⁻³): 4.44

a b c (Å): 5.032 5.647 5.698
angles (deg): 80.97 64.44 69.02
Sites, in units of the cell vectors:
Zn: 0.482 0.030 0.028
Zn: 0.839 0.416 0.678
Cl: 0.352 0.733 0.862
Zn: 0.202 0.856 0.479
O: 0.189 0.520 0.476
Zn: 0.524 0.190 0.410
O: 0.744 0.111 0.664
Cl: 0.931 0.341 0.083

***

A geometry-optimized CdCOF2 structure, computed with PBE-GGA.

Uncorrected formation energy (eV/atom): 0.74
Final energy (eV/f.u.): -15.16
Spin magnetization (μB per formula unit): 0.0
Calculated density (g cm⁻³): 3.83

a b c (Å): 4.256 4.256 4.273
angles (deg): 90.00 90.00 90.00
Sites, in units of the cell vectors:
F: 0.000 0.500 0.000
O: 0.000 0.000 0.500
F: 0.500 0.000 0.000
Cd: 0.000 0.000 0.000
C: 0.500 0.500 0.500

***

A geometry-optimized Y2Pd2Br structure, computed with PBE-GGA.

Uncorrected formation energy (eV/atom): -0.84
Final energy (eV/f.u.): -29.20
Spin magnetization (μB per formula unit): 0.0
Calculated density (g cm⁻³): 6.77

a b c (Å): 8.067 8.067 3.548
angles (deg): 90.00 90.00 90.00
Sites, in units of the cell vectors:
Br: 0.000 0.000 0.000
Pd: 0.876 0.624 0.000
Pd: 0.624 0.124 0.000
Y: 0.333 0.167 0.500
Y: 0.667 0.833 0.500
Pd: 0.124 0.376 0.000
Pd: 0.376 0.876 0.000
Y: 0.833 0.333 0.500
Br: 0.500 0.500 0.000
Y: 0.167 0.667 0.500

***

Which value of spin magnetization does entry 4 give?
0.0 μB per formula unit